Li5Cd2Au2 | GGA-PBE | optimized geometry

Cell and atoms, written as extended XYZ:
```
9
Lattice="-4.214 1.103 1.125 -0.915 -5.199 1.670 4.662 4.185 4.362" Properties=species:S:1:pos:R:3 pbc="T T T"
Cd -1.438 -1.223 4.807
Au 1.313 -0.045 4.960
Cd 0.971 1.312 2.350
Li -2.430 -2.733 2.573
Au -1.780 0.134 2.197
Li 1.963 2.822 4.584
Li -0.751 1.569 4.645
Li 0.283 -1.480 2.512
Li 0.000 0.000 0.000
```

Properties
- Calculated formation energy: -0.370 eV/atom
- Polymorph energy (0 for the lowest one): 0.000 eV/atom
- M_tot: 0.000 μB/atom
- Theoretical density: 6.74 Mg/m³

=====

Li4CdAu2 | GGA-PBE | optimized geometry

Cell and atoms, written as extended XYZ:
```
7
Lattice="-3.754 -1.597 -0.767 -0.359 -3.473 -2.245 -0.777 -6.927 7.002" Properties=species:S:1:pos:R:3 pbc="T T T"
Au -2.621 -4.438 -0.391
Au -2.268 -7.559 4.380
Li -1.321 -2.131 -0.329
Li -0.965 -5.268 4.465
Cd -2.445 -5.999 1.995
Li -3.569 -9.866 4.319
Li -3.924 -6.729 -0.475
```

Properties
- Calculated formation energy: -0.290 eV/atom
- Polymorph energy (0 for the lowest one): 0.124 eV/atom
- M_tot: 0.000 μB/atom
- Theoretical density: 6.20 Mg/m³

=====

Li2Cd2Au | GGA-PBE | optimized geometry

Cell and atoms, written as extended XYZ:
```
10
Lattice="-2.972 -4.468 3.877 5.049 0.345 4.268 -1.948 3.079 2.056" Properties=species:S:1:pos:R:3 pbc="T T T"
Cd -1.133 0.102 3.031
Li 0.673 -3.623 6.065
Cd 1.263 -1.146 7.169
Li 3.273 -1.313 5.068
Li -1.196 -2.810 3.076
Au 1.039 -2.062 4.072
Li 1.404 -0.500 2.079
Au 0.000 0.000 0.000
Cd -1.765 -2.074 5.691
Cd 1.894 1.030 4.509
```

Properties
- Calculated formation energy: -0.223 eV/atom
- Polymorph energy (0 for the lowest one): 0.126 eV/atom
- M_tot: 0.000 μB/atom
- Theoretical density: 7.89 Mg/m³